# CdHgBr2 (PBE-GGA, relaxed)
data_CdHgBr2
_symmetry_space_group_name_H-M 'P 63/m m c'
_symmetry_Int_Tables_number 194
_symmetry_space_group_name_Hall '-P 6c 2c'
_cell_length_a 4.0273
_cell_length_b 4.0273
_cell_length_c 22.4608
_cell_angle_alpha 90.00
_cell_angle_beta 90.00
_cell_angle_gamma 120.00
loop_
_atom_site_label
_atom_site_fract_x
_atom_site_fract_y
_atom_site_fract_z
Cd1 0.0000 0.0000 0.0000
Hg1 0.3333 0.6667 0.2500
Br1 0.3333 0.6667 0.0707
# * VASP energy: -1.7587 eV/atom
# * offset from the most stable computed form: 0.001 eV/atom
# * crystal system: hexagonal
# * formation energy without anion corrections: -0.62 eV per atom

# AsOs (PBE-GGA, relaxed)
data_AsOs
_symmetry_space_group_name_H-M 'P 21 21 21'
_symmetry_Int_Tables_number 19
_symmetry_space_group_name_Hall 'P 2ac 2ab'
_cell_length_a 5.4042
_cell_length_b 6.8954
_cell_length_c 7.9226
_cell_angle_alpha 90.00
_cell_angle_beta 90.00
_cell_angle_gamma 90.00
loop_
_atom_site_label
_atom_site_fract_x
_atom_site_fract_y
_atom_site_fract_z
As1 0.0199 0.1883 0.1709
As2 0.0244 0.1650 0.6142
Os1 0.0503 0.8152 0.6065
Os2 0.2225 0.5456 0.1172
# * VASP energy: -7.6900 eV/atom
# * crystal system: orthorhombic
# * ΔE_f: 250 meV per atom

# CuTe2Pb (PBE-GGA, relaxed)
data_CuTe2Pb
_symmetry_space_group_name_H-M 'P m m m'
_symmetry_Int_Tables_number 47
_symmetry_space_group_name_Hall '-P 2 2'
_cell_length_a 3.7352
_cell_length_b 4.9817
_cell_length_c 5.7074
_cell_angle_alpha 90.00
_cell_angle_beta 90.00
_cell_angle_gamma 90.00
loop_
_atom_site_label
_atom_site_fract_x
_atom_site_fract_y
_atom_site_fract_z
Cu1 0.0000 0.0000 0.0000
Te1 0.0000 0.5000 0.5000
Te2 0.5000 0.0000 0.5000
Pb1 0.5000 0.5000 0.0000
# * VASP energy: -3.1945 eV/atom
# * crystal system: orthorhombic
# * formation energy without anion corrections: 0.33 eV per atom

# Zn2HgIrBr (PBE-GGA, relaxed)
data_Zn2HgIrBr
_symmetry_space_group_name_H-M 'P 4/m m m'
_symmetry_Int_Tables_number 123
_symmetry_space_group_name_Hall '-P 4 2'
_cell_length_a 5.0409
_cell_length_b 5.0409
_cell_length_c 5.2758
_cell_angle_alpha 90.00
_cell_angle_beta 90.00
_cell_angle_gamma 90.00
loop_
_atom_site_label
_atom_site_fract_x
_atom_site_fract_y
_atom_site_fract_z
Zn1 0.0000 0.5000 0.0000
Hg1 0.0000 0.0000 0.0000
Ir1 0.0000 0.0000 0.5000
Br1 0.5000 0.5000 0.5000
# * VASP energy: -1.7065 eV/atom
# * crystal system: tetragonal
# * formation energy without anion corrections: 0.97 eV per atom

# Y2TaSi (PBE-GGA, relaxed)
data_Y2TaSi
_symmetry_space_group_name_H-M 'P 4/m m m'
_symmetry_Int_Tables_number 123
_symmetry_space_group_name_Hall '-P 4 2'
_cell_length_a 4.4893
_cell_length_b 4.4893
_cell_length_c 4.3451
_cell_angle_alpha 90.00
_cell_angle_beta 90.00
_cell_angle_gamma 90.00
loop_
_atom_site_label
_atom_site_fract_x
_atom_site_fract_y
_atom_site_fract_z
Y1 0.0000 0.5000 0.0000
Ta1 0.0000 0.0000 0.5000
Si1 0.5000 0.5000 0.5000
# * VASP energy: -7.5038 eV/atom
# * crystal system: tetragonal
# * formation energy without anion corrections: 0.05 eV per atom

# InNiH3 (PBE-GGA, relaxed)
data_InNiH3
_symmetry_space_group_name_H-M 'P m -3 m'
_symmetry_Int_Tables_number 221
_symmetry_space_group_name_Hall '-P 4 2 3'
_cell_length_a 3.5631
_cell_length_b 3.5631
_cell_length_c 3.5631
_cell_angle_alpha 90.00
_cell_angle_beta 90.00
_cell_angle_gamma 90.00
loop_
_atom_site_label
_atom_site_fract_x
_atom_site_fract_y
_atom_site_fract_z
In1 0.0000 0.0000 0.0000
Ni1 0.5000 0.5000 0.5000
H1 0.0000 0.5000 0.5000
# * VASP energy: -3.4726 eV/atom
# * crystal system: cubic

# TcIr3Rh (PBE-GGA, relaxed)
data_TcIr3Rh
_symmetry_space_group_name_H-M 'P m -3 m'
_symmetry_Int_Tables_number 221
_symmetry_space_group_name_Hall '-P 4 2 3'
_cell_length_a 4.6467
_cell_length_b 4.6467
_cell_length_c 4.6467
_cell_angle_alpha 90.00
_cell_angle_beta 90.00
_cell_angle_gamma 90.00
loop_
_atom_site_label
_atom_site_fract_x
_atom_site_fract_y
_atom_site_fract_z
Tc1 0.0000 0.0000 0.0000
Ir1 0.0000 0.0000 0.5000
Rh1 0.5000 0.5000 0.5000
# * VASP energy: -6.9672 eV/atom
# * offset from the most stable computed form: 1.852 eV/atom
# * crystal system: cubic
# * ΔE_f: 1893 meV per atom

# Sr2MgOs (PBE-GGA, relaxed)
data_Sr2MgOs
_symmetry_space_group_name_H-M 'R -3 m'
_symmetry_Int_Tables_number 166
_symmetry_space_group_name_Hall '-R 3 2"'
_cell_length_a 3.6064
_cell_length_b 3.6064
_cell_length_c 32.4043
_cell_angle_alpha 90.00
_cell_angle_beta 90.00
_cell_angle_gamma 120.00
loop_
_atom_site_label
_atom_site_fract_x
_atom_site_fract_y
_atom_site_fract_z
Sr1 0.0000 0.0000 0.2331
Mg1 0.0000 0.0000 0.0000
Os1 0.0000 0.0000 0.5000
# * VASP energy: -3.3305 eV/atom
# * crystal system: trigonal
# * ΔE_f: 716 meV per atom

# LaSm3Sb2 (PBE-GGA, relaxed)
data_LaSm3Sb2
_symmetry_space_group_name_H-M 'P -4 m 2'
_symmetry_Int_Tables_number 115
_symmetry_space_group_name_Hall 'P -4 -2'
_cell_length_a 4.5680
_cell_length_b 4.5680
_cell_length_c 8.8456
_cell_angle_alpha 90.00
_cell_angle_beta 90.00
_cell_angle_gamma 90.00
loop_
_atom_site_label
_atom_site_fract_x
_atom_site_fract_y
_atom_site_fract_z
La1 0.0000 0.0000 0.0000
Sm1 0.0000 0.5000 0.3570
Sm2 0.5000 0.5000 0.0000
Sb1 0.0000 0.5000 0.7169
# * VASP energy: -5.3643 eV/atom
# * offset from the most stable computed form: 0.000 eV/atom
# * crystal system: tetragonal
# * formation energy without anion corrections: -0.81 eV per atom

# Rb2TbSmS4 (PBE-GGA, relaxed)
data_Rb2TbSmS4
_symmetry_space_group_name_H-M 'P 1 2/m 1'
_symmetry_Int_Tables_number 10
_symmetry_space_group_name_Hall '-P 2y'
_cell_length_a 7.1635
_cell_length_b 4.1346
_cell_length_c 8.0633
_cell_angle_alpha 90.00
_cell_angle_beta 107.19
_cell_angle_gamma 90.00
loop_
_atom_site_label
_atom_site_fract_x
_atom_site_fract_y
_atom_site_fract_z
Rb1 0.0000 0.0000 0.0000
Rb2 0.5000 0.5000 0.0000
Tb1 0.0000 0.5000 0.5000
Sm1 0.5000 0.0000 0.5000
S1 0.2272 0.0000 0.6931
S2 0.2648 0.5000 0.3053
# * VASP energy: -5.3194 eV/atom
# * crystal system: monoclinic
# * formation energy without anion corrections: -1.85 eV per atom

# NpPtRh2 (PBE-GGA, relaxed)
data_NpPtRh2
_symmetry_space_group_name_H-M 'P 4/m m m'
_symmetry_Int_Tables_number 123
_symmetry_space_group_name_Hall '-P 4 2'
_cell_length_a 4.1364
_cell_length_b 4.1364
_cell_length_c 3.9255
_cell_angle_alpha 90.00
_cell_angle_beta 90.00
_cell_angle_gamma 90.00
loop_
_atom_site_label
_atom_site_fract_x
_atom_site_fract_y
_atom_site_fract_z
Np1 0.0000 0.0000 0.0000
Pt1 0.5000 0.5000 0.0000
Rh1 0.0000 0.5000 0.5000
# * VASP energy: -8.9323 eV/atom
# * crystal system: tetragonal
# * ΔE_f: -511 meV per atom

# NaTbLu2 (PBE-GGA, relaxed)
data_NaTbLu2
_symmetry_space_group_name_H-M 'P 4/m m m'
_symmetry_Int_Tables_number 123
_symmetry_space_group_name_Hall '-P 4 2'
_cell_length_a 3.5117
_cell_length_b 3.5117
_cell_length_c 10.3326
_cell_angle_alpha 90.00
_cell_angle_beta 90.00
_cell_angle_gamma 90.00
loop_
_atom_site_label
_atom_site_fract_x
_atom_site_fract_y
_atom_site_fract_z
Na1 0.0000 0.0000 0.0000
Tb1 0.0000 0.0000 0.5000
Lu1 0.5000 0.5000 0.2720
# * VASP energy: -3.5921 eV/atom
# * crystal system: tetragonal
# * ΔE_f: 156 meV per atom

# Er8SbPb5 (PBE-GGA, relaxed)
data_Er8SbPb5
_symmetry_space_group_name_H-M 'I -4'
_symmetry_Int_Tables_number 82
_symmetry_space_group_name_Hall 'I -4'
_cell_length_a 9.2838
_cell_length_b 9.2838
_cell_length_c 9.2994
_cell_angle_alpha 90.00
_cell_angle_beta 90.00
_cell_angle_gamma 90.00
loop_
_atom_site_label
_atom_site_fract_x
_atom_site_fract_y
_atom_site_fract_z
Er1 0.0713 0.1804 0.1964
Er2 0.0723 0.3217 0.5527
Sb1 0.0000 0.5000 0.2500
Pb1 0.0000 0.0000 0.5000
Pb2 0.1250 0.2499 0.8748
# * VASP energy: -4.8007 eV/atom
# * crystal system: tetragonal
# * formation energy without anion corrections: -0.57 eV per atom

# CsYTa2Se (PBE-GGA, relaxed)
data_CsYTa2Se
_symmetry_space_group_name_H-M 'P 4/m m m'
_symmetry_Int_Tables_number 123
_symmetry_space_group_name_Hall '-P 4 2'
_cell_length_a 4.9133
_cell_length_b 4.9133
_cell_length_c 5.6882
_cell_angle_alpha 90.00
_cell_angle_beta 90.00
_cell_angle_gamma 90.00
loop_
_atom_site_label
_atom_site_fract_x
_atom_site_fract_y
_atom_site_fract_z
Cs1 0.0000 0.0000 0.0000
Y1 0.5000 0.5000 0.0000
Ta1 0.0000 0.5000 0.5000
Se1 0.5000 0.5000 0.5000
# * VASP energy: -5.9831 eV/atom
# * crystal system: tetragonal
# * formation energy without anion corrections: 0.92 eV per atom

# ScCd2Cu (PBE-GGA, relaxed)
data_ScCd2Cu
_symmetry_space_group_name_H-M 'P 1 2/m 1'
_symmetry_Int_Tables_number 10
_symmetry_space_group_name_Hall '-P 2y'
_cell_length_a 3.1632
_cell_length_b 4.6584
_cell_length_c 5.5049
_cell_angle_alpha 90.00
_cell_angle_beta 101.68
_cell_angle_gamma 90.00
loop_
_atom_site_label
_atom_site_fract_x
_atom_site_fract_y
_atom_site_fract_z
Sc1 0.0000 0.0000 0.0000
Cd1 0.3663 0.5000 0.7343
Cu1 0.5000 0.0000 0.5000
# * VASP energy: -3.1189 eV/atom
# * crystal system: monoclinic
# * ΔE_f: -54 meV per atom

# PaAs2HO6 (PBE-GGA, relaxed)
data_PaAs2HO6
_symmetry_space_group_name_H-M 'P 1 21/c 1'
_symmetry_Int_Tables_number 14
_symmetry_space_group_name_Hall '-P 2ybc'
_cell_length_a 6.0613
_cell_length_b 4.5938
_cell_length_c 11.3380
_cell_angle_alpha 90.00
_cell_angle_beta 116.88
_cell_angle_gamma 90.00
loop_
_atom_site_label
_atom_site_fract_x
_atom_site_fract_y
_atom_site_fract_z
Pa1 0.0000 0.0000 0.0000
As1 0.3390 0.0922 0.8285
H1 0.5000 0.0000 0.5000
O1 0.1146 0.2414 0.8811
O2 0.2517 0.1825 0.1800
O3 0.4058 0.7003 0.0439
# * VASP energy: -7.0277 eV/atom
# * crystal system: monoclinic

# Ta2IO (PBE-GGA, relaxed)
data_Ta2IO
_symmetry_space_group_name_H-M 'F m -3 m'
_symmetry_Int_Tables_number 225
_symmetry_space_group_name_Hall '-F 4 2 3'
_cell_length_a 6.4043
_cell_length_b 6.4043
_cell_length_c 6.4043
_cell_angle_alpha 90.00
_cell_angle_beta 90.00
_cell_angle_gamma 90.00
loop_
_atom_site_label
_atom_site_fract_x
_atom_site_fract_y
_atom_site_fract_z
Ta1 0.2500 0.2500 0.2500
I1 0.0000 0.0000 0.0000
O1 0.0000 0.0000 0.5000
# * VASP energy: -6.9237 eV/atom
# * offset from the most stable computed form: 0.642 eV/atom
# * crystal system: cubic
# * formation energy without anion corrections: 0.63 eV per atom

# KTlGaAu2 (PBE-GGA, relaxed)
data_KTlGaAu2
_symmetry_space_group_name_H-M 'P 4/m m m'
_symmetry_Int_Tables_number 123
_symmetry_space_group_name_Hall '-P 4 2'
_cell_length_a 5.0974
_cell_length_b 5.0974
_cell_length_c 5.4425
_cell_angle_alpha 90.00
_cell_angle_beta 90.00
_cell_angle_gamma 90.00
loop_
_atom_site_label
_atom_site_fract_x
_atom_site_fract_y
_atom_site_fract_z
K1 0.0000 0.0000 0.0000
Tl1 0.5000 0.5000 0.0000
Ga1 0.5000 0.5000 0.5000
Au1 0.0000 0.5000 0.5000
# * VASP energy: -2.6886 eV/atom
# * crystal system: tetragonal
# * ΔE_f: -80 meV per atom

# HgGeTeSe (PBE-GGA, relaxed)
data_HgGeTeSe
_symmetry_space_group_name_H-M 'C 1 m 1'
_symmetry_Int_Tables_number 8
_symmetry_space_group_name_Hall 'C -2y'
_cell_length_a 7.2752
_cell_length_b 4.3398
_cell_length_c 8.4615
_cell_angle_alpha 90.00
_cell_angle_beta 110.74
_cell_angle_gamma 90.00
loop_
_atom_site_label
_atom_site_fract_x
_atom_site_fract_y
_atom_site_fract_z
Hg1 0.0000 0.0000 0.0000
Ge1 0.4050 0.5000 0.5520
Te1 0.1587 0.0000 0.3662
Se1 0.2813 0.0000 0.8600
# * VASP energy: -2.9384 eV/atom
# * crystal system: monoclinic
# * formation energy without anion corrections: -0.05 eV per atom

# AcTb7Er4 (PBE-GGA, relaxed)
data_AcTb7Er4
_symmetry_space_group_name_H-M 'C 1 2/m 1'
_symmetry_Int_Tables_number 12
_symmetry_space_group_name_Hall '-C 2y'
_cell_length_a 12.2202
_cell_length_b 6.0352
_cell_length_c 12.5247
_cell_angle_alpha 90.00
_cell_angle_beta 118.81
_cell_angle_gamma 90.00
loop_
_atom_site_label
_atom_site_fract_x
_atom_site_fract_y
_atom_site_fract_z
Ac1 0.0000 0.0000 0.0000
Tb1 0.0000 0.5000 0.0000
Tb2 0.0521 0.0000 0.3449
Tb3 0.1342 0.5000 0.5089
Tb4 0.2155 0.0000 0.9185
Er1 0.1247 0.5000 0.7752
Er2 0.2395 0.5000 0.3145
# * VASP energy: -4.2547 eV/atom
# * offset from the most stable computed form: 0.299 eV/atom
# * crystal system: monoclinic
# * ΔE_f: 310 meV per atom

# TlNiPt (PBE-GGA, relaxed)
data_TlNiPt
_symmetry_space_group_name_H-M 'P 3 m 1'
_symmetry_Int_Tables_number 156
_symmetry_space_group_name_Hall 'P 3 -2"'
_cell_length_a 3.1085
_cell_length_b 3.1085
_cell_length_c 6.1688
_cell_angle_alpha 90.00
_cell_angle_beta 90.00
_cell_angle_gamma 120.00
loop_
_atom_site_label
_atom_site_fract_x
_atom_site_fract_y
_atom_site_fract_z
Tl1 0.0000 0.0000 0.0000
Ni1 0.6667 0.3333 0.3288
Pt1 0.3333 0.6667 0.6316
# * VASP energy: -4.4242 eV/atom
# * offset from the most stable computed form: 0.164 eV/atom
# * crystal system: trigonal
# * ΔE_f: 305 meV per atom

# DyPuSi (PBE-GGA, relaxed)
data_DyPuSi
_symmetry_space_group_name_H-M 'F -4 3 m'
_symmetry_Int_Tables_number 216
_symmetry_space_group_name_Hall 'F -4 2 3'
_cell_length_a 6.8592
_cell_length_b 6.8592
_cell_length_c 6.8592
_cell_angle_alpha 90.00
_cell_angle_beta 90.00
_cell_angle_gamma 90.00
loop_
_atom_site_label
_atom_site_fract_x
_atom_site_fract_y
_atom_site_fract_z
Dy1 0.0000 0.0000 0.0000
Pu1 0.0000 0.0000 0.5000
Si1 0.2500 0.2500 0.2500
# * VASP energy: -8.3294 eV/atom
# * offset from the most stable computed form: 0.000 eV/atom
# * crystal system: cubic
# * formation energy without anion corrections: -0.21 eV per atom

# FeTcNi2 (PBE-GGA, relaxed)
data_FeTcNi2
_symmetry_space_group_name_H-M 'P 4/m m m'
_symmetry_Int_Tables_number 123
_symmetry_space_group_name_Hall '-P 4 2'
_cell_length_a 2.5568
_cell_length_b 2.5568
_cell_length_c 7.3869
_cell_angle_alpha 90.00
_cell_angle_beta 90.00
_cell_angle_gamma 90.00
loop_
_atom_site_label
_atom_site_fract_x
_atom_site_fract_y
_atom_site_fract_z
Fe1 0.0000 0.0000 0.0000
Tc1 0.0000 0.0000 0.5000
Ni1 0.5000 0.5000 0.2404
# * VASP energy: -7.6008 eV/atom
# * offset from the most stable computed form: 0.000 eV/atom
# * crystal system: tetragonal
# * ΔE_f: -3 meV per atom

# AlHg (PBE-GGA, relaxed)
data_AlHg
_symmetry_space_group_name_H-M 'P 21 21 21'
_symmetry_Int_Tables_number 19
_symmetry_space_group_name_Hall 'P 2ac 2ab'
_cell_length_a 5.3655
_cell_length_b 6.7508
_cell_length_c 9.5404
_cell_angle_alpha 90.00
_cell_angle_beta 90.00
_cell_angle_gamma 90.00
loop_
_atom_site_label
_atom_site_fract_x
_atom_site_fract_y
_atom_site_fract_z
Al1 0.0918 0.0080 0.1494
Al2 0.2026 0.7224 0.9544
Hg1 0.0501 0.8803 0.4298
Hg2 0.0869 0.4248 0.7407
# * VASP energy: -1.8885 eV/atom
# * crystal system: orthorhombic
# * ΔE_f: 134 meV per atom

# HfReSi (PBE-GGA, relaxed)
data_HfReSi
_symmetry_space_group_name_H-M 'C 1 2/m 1'
_symmetry_Int_Tables_number 12
_symmetry_space_group_name_Hall '-C 2y'
_cell_length_a 10.0588
_cell_length_b 3.3603
_cell_length_c 6.9983
_cell_angle_alpha 90.00
_cell_angle_beta 125.18
_cell_angle_gamma 90.00
loop_
_atom_site_label
_atom_site_fract_x
_atom_site_fract_y
_atom_site_fract_z
Hf1 0.0763 0.0000 0.3164
Re1 0.1665 0.5000 0.0619
Si1 0.1405 0.5000 0.6725
# * VASP energy: -9.8580 eV/atom
# * crystal system: monoclinic
# * formation energy without anion corrections: -0.58 eV per atom